# 1
The following is a PBEsol calculation of a geometry-optimized SrSeOF2 structure, from Alexandria.

abc: 4.610 4.610 3.912
angles: 90.00 90.00 90.00
Space group P4/mmm (No. 123)
Symmetry-distinct sites (fractional):
1 Sr 0.000 0.000 0.000 (multiplicity 1)
2 Se 0.500 0.500 0.500 (multiplicity 1)
3 O 0.500 0.500 0.000 (multiplicity 1)
4 F 0.000 0.500 0.500 (multiplicity 2)

Fermi-level density of states (states/eV/cell): 1.76
Raw total energy (eV per atom): -4.62
Theoretical density (g/cm3): 4.41

# 2
The following is a PBEsol calculation of a geometry-optimized Sr4Ta2O9 structure, from Alexandria.

abc: 10.095 5.747 17.716
angles: 90.00 124.00 90.00
Space group P2_1/c (No. 14)
Symmetry-distinct sites (fractional):
1 Sr 0.000 0.000 0.000 (multiplicity 2)
2 Sr 0.048 0.018 0.396 (multiplicity 4)
3 Sr 0.276 0.001 0.267 (multiplicity 4)
4 Sr 0.388 0.014 0.078 (multiplicity 4)
5 Sr 0.500 0.000 0.500 (multiplicity 2)
6 Ta 0.171 0.507 0.334 (multiplicity 4)
7 Ta 0.336 0.510 0.168 (multiplicity 4)
8 O 0.035 0.711 0.751 (multiplicity 4)
9 O 0.115 0.600 0.417 (multiplicity 4)
10 O 0.178 0.170 0.563 (multiplicity 4)
11 O 0.203 0.715 0.628 (multiplicity 4)
12 O 0.234 0.068 0.740 (multiplicity 4)
13 O 0.265 0.224 0.400 (multiplicity 4)
14 O 0.365 0.682 0.396 (multiplicity 4)
15 O 0.440 0.601 0.109 (multiplicity 4)
16 O 0.482 0.223 0.224 (multiplicity 4)

ΔE to the lowest computed polymorph (meV/atom): 0
Fermi-level density of states (states/eV/cell): 0.00
Raw total energy (eV per atom): -8.35
Theoretical density (g/cm3): 6.68

# 3
The following is a PBEsol calculation of a geometry-optimized LiMn2P3O10 structure, from Alexandria.

abc: 4.637 8.653 9.106
angles: 90.00 97.51 90.00
Space group P2_1/m (No. 11)
Symmetry-distinct sites (fractional):
1 Li 0.000 0.000 0.000 (multiplicity 2)
2 Mn 0.035 0.064 0.332 (multiplicity 4)
3 P 0.331 0.250 0.825 (multiplicity 2)
4 P 0.400 0.750 0.465 (multiplicity 2)
5 P 0.458 0.250 0.140 (multiplicity 2)
6 O 0.157 0.102 0.819 (multiplicity 4)
7 O 0.227 0.602 0.483 (multiplicity 4)
8 O 0.247 0.750 0.762 (multiplicity 2)
9 O 0.282 0.103 0.151 (multiplicity 4)
10 O 0.300 0.250 0.444 (multiplicity 2)
11 O 0.442 0.750 0.027 (multiplicity 2)
12 O 0.446 0.750 0.291 (multiplicity 2)

ΔE to the lowest computed polymorph (meV/atom): 0
Fermi-level density of states (states/eV/cell): 0.00
Raw total energy (eV per atom): -7.77
Theoretical density (g/cm3): 3.39

# 4
The following is a PBEsol calculation of a geometry-optimized Y2CoRu structure, from Alexandria.

abc: 4.693 4.693 3.322
angles: 90.00 90.00 90.00
Space group P4/mmm (No. 123)
Symmetry-distinct sites (fractional):
1 Y 0.000 0.500 0.000 (multiplicity 2)
2 Co 0.000 0.000 0.500 (multiplicity 1)
3 Ru 0.500 0.500 0.500 (multiplicity 1)

Energy of formation (eV/atom): -0.174
Fermi-level density of states (states/eV/cell): 2.33
Raw total energy (eV per atom): -8.06
Theoretical density (g/cm3): 7.67

# 5
The following is a PBEsol calculation of a geometry-optimized CaMg6Zr structure, from Alexandria.

abc: 6.402 6.402 4.635
angles: 90.00 90.00 90.00
Space group P4/mmm (No. 123)
Symmetry-distinct sites (fractional):
1 Ca 0.000 0.000 0.000 (multiplicity 1)
2 Mg 0.000 0.500 0.000 (multiplicity 2)
3 Mg 0.264 0.264 0.500 (multiplicity 4)
4 Zr 0.500 0.500 0.000 (multiplicity 1)

Energy of formation (eV/atom): 0.019
Fermi-level density of states (states/eV/cell): 7.14
Raw total energy (eV per atom): -2.67
Theoretical density (g/cm3): 2.42

# 6
The following is a PBEsol calculation of a geometry-optimized Al2NiOs structure, from Alexandria.

abc: 2.670 3.837 5.146
angles: 90.00 90.00 90.00
Space group Pmm2 (No. 25)
Symmetry-distinct sites (fractional):
1 Al 0.000 0.000 0.000 (multiplicity 1)
2 Al 0.500 0.500 0.304 (multiplicity 1)
3 Ni 0.000 0.000 0.494 (multiplicity 1)
4 Os 0.500 0.500 0.796 (multiplicity 1)

Energy of formation (eV/atom): -0.262
Fermi-level density of states (states/eV/cell): 1.60
Raw total energy (eV per atom): -6.90
Theoretical density (g/cm3): 9.54

# 7
The following is a PBEsol calculation of a geometry-optimized ScTaIr2 structure, from Alexandria.

abc: 4.214 4.214 7.181
angles: 90.00 90.00 90.00
Space group I4/mmm (No. 139)
Symmetry-distinct sites (fractional):
1 Sc 0.000 0.000 0.000 (multiplicity 2)
2 Ta 0.000 0.000 0.500 (multiplicity 2)
3 Ir 0.000 0.500 0.250 (multiplicity 4)

Energy of formation (eV/atom): -0.685
Fermi-level density of states (states/eV/cell): 6.00
Raw total energy (eV per atom): -10.39
Theoretical density (g/cm3): 15.90

# 8
The following is a PBEsol calculation of a geometry-optimized Ta3ZnI structure, from Alexandria.

abc: 4.730 4.730 4.730
angles: 90.00 90.00 90.00
Space group Pm-3m (No. 221)
Symmetry-distinct sites (fractional):
1 Ta 0.000 0.000 0.500 (multiplicity 3)
2 Zn 0.000 0.000 0.000 (multiplicity 1)
3 I 0.500 0.500 0.500 (multiplicity 1)

Fermi-level density of states (states/eV/cell): 7.15
Raw total energy (eV per atom): -6.59
Theoretical density (g/cm3): 11.53

# 9
The following is a PBEsol calculation of a geometry-optimized BaCaTe2 structure, from Alexandria.

abc: 4.731 4.731 6.687
angles: 90.00 90.00 90.00
Space group P4/mmm (No. 123)
Symmetry-distinct sites (fractional):
1 Ba 0.000 0.000 0.000 (multiplicity 1)
2 Ca 0.500 0.500 0.500 (multiplicity 1)
3 Te 0.000 0.000 0.500 (multiplicity 1)
4 Te 0.500 0.500 0.000 (multiplicity 1)

ΔE to the lowest computed polymorph (meV/atom): 64
Fermi-level density of states (states/eV/cell): 0.00
Raw total energy (eV per atom): -4.45
Theoretical density (g/cm3): 4.80

# 10
The following is a PBEsol calculation of a geometry-optimized SbPbCl2 structure, from Alexandria.

abc: 6.832 9.545 3.401
angles: 90.00 118.83 90.00
Space group C2/m (No. 12)
Symmetry-distinct sites (fractional):
1 Sb 0.000 0.000 0.000 (multiplicity 2)
2 Pb 0.000 0.500 0.000 (multiplicity 2)
3 Cl 0.250 0.250 0.500 (multiplicity 4)

ΔE to the lowest computed polymorph (meV/atom): 0
Fermi-level density of states (states/eV/cell): 2.85
Raw total energy (eV per atom): -3.59
Theoretical density (g/cm3): 6.84

# 11
The following is a PBEsol calculation of a geometry-optimized AlZnRe structure, from Alexandria.

abc: 5.755 5.755 5.755
angles: 90.00 90.00 90.00
Space group F-43m (No. 216)
Symmetry-distinct sites (fractional):
1 Al 0.000 0.000 0.000 (multiplicity 4)
2 Zn 0.250 0.250 0.250 (multiplicity 4)
3 Re 0.000 0.000 0.500 (multiplicity 4)

Energy of formation (eV/atom): 0.748
ΔE to the lowest computed polymorph (meV/atom): 617
Fermi-level density of states (states/eV/cell): 13.96
Raw total energy (eV per atom): -5.59
Theoretical density (g/cm3): 9.71

# 12
The following is a PBEsol calculation of a geometry-optimized DyFe4Si2 structure, from Alexandria.

abc: 6.987 6.987 3.678
angles: 90.00 90.00 90.00
Space group P4_2/mnm (No. 136)
Symmetry-distinct sites (fractional):
1 Dy 0.000 0.000 0.000 (multiplicity 2)
2 Fe 0.084 0.354 0.500 (multiplicity 8)
3 Si 0.219 0.781 0.500 (multiplicity 4)

Fermi-level density of states (states/eV/cell): 10.26
Raw total energy (eV per atom): -8.00
Theoretical density (g/cm3): 8.17

# 13
The following is a PBEsol calculation of a geometry-optimized FeMo3Se structure, from Alexandria.

abc: 4.518 4.518 4.518
angles: 90.00 90.00 90.00
Space group Pm-3m (No. 221)
Symmetry-distinct sites (fractional):
1 Fe 0.000 0.000 0.000 (multiplicity 1)
2 Mo 0.000 0.500 0.500 (multiplicity 3)
3 Se 0.500 0.500 0.500 (multiplicity 1)

Fermi-level density of states (states/eV/cell): 8.47
Raw total energy (eV per atom): -8.19
Theoretical density (g/cm3): 7.61

# 14
The following is a PBEsol calculation of a geometry-optimized Na3FeOs structure, from Alexandria.

abc: 5.020 5.020 5.020
angles: 90.00 90.00 90.00
Space group Pm-3m (No. 221)
Symmetry-distinct sites (fractional):
1 Na 0.000 0.000 0.500 (multiplicity 3)
2 Fe 0.000 0.000 0.000 (multiplicity 1)
3 Os 0.500 0.500 0.500 (multiplicity 1)

Energy of formation (eV/atom): 2.132
Fermi-level density of states (states/eV/cell): 4.58
Raw total energy (eV per atom): -2.94
Theoretical density (g/cm3): 4.13

# 15
The following is a PBEsol calculation of a geometry-optimized HfAl2Au2 structure, from Alexandria.

abc: 3.865 3.865 11.863
angles: 90.00 90.00 90.00
Space group I4/mmm (No. 139)
Symmetry-distinct sites (fractional):
1 Hf 0.000 0.000 0.000 (multiplicity 2)
2 Al 0.000 0.500 0.250 (multiplicity 4)
3 Au 0.000 0.000 0.390 (multiplicity 4)

Energy of formation (eV/atom): -0.419
Fermi-level density of states (states/eV/cell): 4.46
Raw total energy (eV per atom): -5.73
Theoretical density (g/cm3): 11.74

# 16
The following is a PBEsol calculation of a geometry-optimized ZnFeBO4 structure, from Alexandria.

abc: 3.015 9.328 9.247
angles: 90.00 90.00 90.00
Space group Pmc2_1 (No. 26)
Symmetry-distinct sites (fractional):
1 Zn 0.000 0.052 0.000 (multiplicity 2)
2 Zn 0.000 0.315 0.486 (multiplicity 2)
3 Fe 0.500 0.186 0.728 (multiplicity 2)
4 Fe 0.500 0.442 0.205 (multiplicity 2)
5 B 0.000 0.375 0.931 (multiplicity 2)
6 B 0.500 0.126 0.262 (multiplicity 2)
7 O 0.000 0.133 0.618 (multiplicity 2)
8 O 0.000 0.242 0.859 (multiplicity 2)
9 O 0.000 0.380 0.079 (multiplicity 2)
10 O 0.000 0.497 0.356 (multiplicity 2)
11 O 0.500 0.005 0.839 (multiplicity 2)
12 O 0.500 0.128 0.116 (multiplicity 2)
13 O 0.500 0.255 0.339 (multiplicity 2)
14 O 0.500 0.364 0.636 (multiplicity 2)

Fermi-level density of states (states/eV/cell): 12.21
Raw total energy (eV per atom): -7.16
Theoretical density (g/cm3): 5.01

# 17
The following is a PBEsol calculation of a geometry-optimized CuReS2 structure, from Alexandria.

abc: 3.0217 3.0217 22.5659
angles: 90.00 90.00 120.00
Space group R-3m (No. 166, hexagonal axes)
Symmetry-distinct sites (fractional):
1 Cu 0.0000 0.0000 0.0000 (multiplicity 3)
2 Re 0.0000 0.0000 0.5000 (multiplicity 3)
3 S 0.0000 0.0000 0.4013 (multiplicity 6)

Fermi-level density of states (states/eV/cell): 8.25
Raw total energy (eV per atom): -6.31
Theoretical density (g/cm3): 8.76

# 18
The following is a PBEsol calculation of a geometry-optimized Mn2CdIr structure, from Alexandria.

abc: 2.980 2.980 6.484
angles: 90.00 90.00 90.00
Space group P4mm (No. 99)
Symmetry-distinct sites (fractional):
1 Mn 0.000 0.000 0.000 (multiplicity 1)
2 Mn 0.500 0.500 0.185 (multiplicity 1)
3 Cd 0.000 0.000 0.478 (multiplicity 1)
4 Ir 0.500 0.500 0.774 (multiplicity 1)

Energy of formation (eV/atom): 0.188
Fermi-level density of states (states/eV/cell): 3.03
Raw total energy (eV per atom): -7.45
Theoretical density (g/cm3): 11.96

# 19
The following is a PBEsol calculation of a geometry-optimized ZrCd2Au structure, from Alexandria.

abc: 4.777 4.777 6.704
angles: 90.00 90.00 90.00
Space group I-4m2 (No. 119)
Symmetry-distinct sites (fractional):
1 Zr 0.000 0.000 0.000 (multiplicity 2)
2 Cd 0.000 0.000 0.500 (multiplicity 2)
3 Cd 0.000 0.500 0.250 (multiplicity 2)
4 Au 0.000 0.500 0.750 (multiplicity 2)

Energy of formation (eV/atom): -0.287
Fermi-level density of states (states/eV/cell): 2.94
Raw total energy (eV per atom): -4.14
Theoretical density (g/cm3): 11.14

# 20
The following is a PBEsol calculation of a geometry-optimized In3IrCl structure, from Alexandria.

abc: 10.219 10.256 5.135
angles: 90.00 90.00 90.00
Space group Cmmm (No. 65)
Symmetry-distinct sites (fractional):
1 In 0.000 0.000 0.000 (multiplicity 2)
2 In 0.000 0.227 0.500 (multiplicity 4)
3 In 0.000 0.500 0.000 (multiplicity 2)
4 In 0.250 0.250 0.000 (multiplicity 4)
5 Ir 0.000 0.252 0.000 (multiplicity 4)
6 Cl 0.195 0.000 0.500 (multiplicity 4)

ΔE to the lowest computed polymorph (meV/atom): 0
Fermi-level density of states (states/eV/cell): 8.29
Raw total energy (eV per atom): -4.54
Theoretical density (g/cm3): 7.06

# 21
The following is a PBEsol calculation of a geometry-optimized LiCu2Ni structure, from Alexandria.

abc: 2.663 4.056 8.197
angles: 90.00 90.00 90.00
Space group Immm (No. 71)
Symmetry-distinct sites (fractional):
1 Li 0.000 0.000 0.000 (multiplicity 2)
2 Cu 0.000 0.500 0.246 (multiplicity 4)
3 Ni 0.000 0.000 0.500 (multiplicity 2)

Energy of formation (eV/atom): 0.049
ΔE to the lowest computed polymorph (meV/atom): 68
Fermi-level density of states (states/eV/cell): 3.54
Raw total energy (eV per atom): -4.15
Theoretical density (g/cm3): 7.23

# 22
The following is a PBEsol calculation of a geometry-optimized HfCrFe2Te structure, from Alexandria.

abc: 4.500 4.500 4.877
angles: 90.00 90.00 90.00
Space group P4/mmm (No. 123)
Symmetry-distinct sites (fractional):
1 Hf 0.000 0.000 0.000 (multiplicity 1)
2 Cr 0.000 0.000 0.500 (multiplicity 1)
3 Fe 0.000 0.500 0.000 (multiplicity 2)
4 Te 0.500 0.500 0.500 (multiplicity 1)

Fermi-level density of states (states/eV/cell): 4.69
Raw total energy (eV per atom): -6.97
Theoretical density (g/cm3): 7.90